# 1
The following is a GGA-PBE calculation of a geometry-optimized NdAlBIr2 structure, from Alexandria.

a = 6.037 Å, b = 6.037 Å, c = 7.327 Å
α = 90.00°, β = 90.00°, γ = 140.20°
Sites, in units of the cell vectors:
Nd1 0.055 0.945 0.750
Nd2 0.945 0.055 0.250
Al1 0.225 0.775 0.250
Al2 0.775 0.225 0.750
B1 0.500 0.500 0.000
B2 0.500 0.500 0.500
Ir1 0.333 0.667 0.559
Ir2 0.333 0.667 0.941
Ir3 0.667 0.333 0.059
Ir4 0.667 0.333 0.441

Values from the calculation:
- Calculated density: 11.005 g/cm3
- Total energy: -7.330 eV per atom
- Space-group type: No. 63
- Formation energy: -0.7483 eV per atom



# 2
The following is a GGA-PBE calculation of a geometry-optimized Np2AlB2Ir5 structure, from Alexandria.

a = 9.548 Å, b = 9.548 Å, c = 3.250 Å
α = 90.00°, β = 90.00°, γ = 90.00°
Sites, in units of the cell vectors:
Np1 0.179 0.321 0.000
Np2 0.321 0.821 0.000
Np3 0.679 0.179 0.000
Np4 0.821 0.679 0.000
Al1 0.000 0.000 0.000
Al2 0.500 0.500 0.000
B1 0.121 0.621 0.000
B2 0.379 0.121 0.000
B3 0.621 0.879 0.000
B4 0.879 0.379 0.000
Ir1 0.000 0.500 0.500
Ir2 0.068 0.782 0.500
Ir3 0.218 0.068 0.500
Ir4 0.282 0.568 0.500
Ir5 0.432 0.282 0.500
Ir6 0.500 0.000 0.500
Ir7 0.568 0.718 0.500
Ir8 0.718 0.432 0.500
Ir9 0.782 0.932 0.500
Ir10 0.932 0.218 0.500

Values from the calculation:
- Calculated density: 16.633 g/cm3
- Total energy: -9.172 eV per atom
- Space-group type: No. 127
- Formation energy: -0.4432 eV per atom



# 3
The following is a GGA-PBE calculation of a geometry-optimized PrAlBIr2 structure, from Alexandria.

a = 6.049 Å, b = 6.049 Å, c = 7.336 Å
α = 90.00°, β = 90.00°, γ = 140.02°
Sites, in units of the cell vectors:
Pr1 0.056 0.944 0.750
Pr2 0.944 0.056 0.250
Al1 0.225 0.775 0.250
Al2 0.775 0.225 0.750
B1 0.500 0.500 0.000
B2 0.500 0.500 0.500
Ir1 0.333 0.667 0.560
Ir2 0.333 0.667 0.940
Ir3 0.667 0.333 0.060
Ir4 0.667 0.333 0.440

Values from the calculation:
- Calculated density: 10.843 g/cm3
- Total energy: -7.320 eV per atom
- Space-group type: No. 63
- Formation energy: -0.7360 eV per atom



# 4
The following is a GGA-PBE calculation of a geometry-optimized Pu2AlB2Ir5 structure, from Alexandria.

a = 9.933 Å, b = 9.933 Å, c = 2.986 Å
α = 90.00°, β = 90.00°, γ = 90.00°
Sites, in units of the cell vectors:
Pu1 0.181 0.319 0.000
Pu2 0.319 0.819 0.000
Pu3 0.681 0.181 0.000
Pu4 0.819 0.681 0.000
Al1 0.000 0.000 0.000
Al2 0.500 0.500 0.000
B1 0.122 0.622 0.000
B2 0.378 0.122 0.000
B3 0.622 0.878 0.000
B4 0.878 0.378 0.000
Ir1 0.000 0.500 0.500
Ir2 0.064 0.781 0.500
Ir3 0.219 0.064 0.500
Ir4 0.281 0.564 0.500
Ir5 0.436 0.281 0.500
Ir6 0.500 0.000 0.500
Ir7 0.564 0.719 0.500
Ir8 0.719 0.436 0.500
Ir9 0.781 0.936 0.500
Ir10 0.936 0.219 0.500

Values from the calculation:
- Calculated density: 16.886 g/cm3
- Total energy: -9.527 eV per atom
- Space-group type: No. 127
- Formation energy: -0.5205 eV per atom



# 5
The following is a GGA-PBE calculation of a geometry-optimized AlB2IrRu structure, from Alexandria.

a = 4.005 Å, b = 4.005 Å, c = 4.607 Å
α = 90.00°, β = 90.00°, γ = 90.00°
Sites, in units of the cell vectors:
Al1 0.000 0.000 0.000
B1 0.000 0.500 0.000
B2 0.500 0.000 0.000
Ir1 0.000 0.000 0.500
Ru1 0.500 0.500 0.500

Values from the calculation:
- Calculated density: 7.682 g/cm3
- Total energy: -5.181 eV per atom
- Space-group type: No. 123
- Formation energy: 1.8656 eV per atom



# 6
The following is a GGA-PBE calculation of a geometry-optimized Sc2AlB2Ir5 structure, from Alexandria.

a = 9.446 Å, b = 9.446 Å, c = 3.034 Å
α = 90.00°, β = 90.00°, γ = 90.00°
Sites, in units of the cell vectors:
Sc1 0.176 0.324 0.000
Sc2 0.324 0.824 0.000
Sc3 0.676 0.176 0.000
Sc4 0.824 0.676 0.000
Al1 0.000 0.000 0.000
Al2 0.500 0.500 0.000
B1 0.124 0.624 0.000
B2 0.376 0.124 0.000
B3 0.624 0.876 0.000
B4 0.876 0.376 0.000
Ir1 0.000 0.500 0.500
Ir2 0.070 0.784 0.500
Ir3 0.216 0.070 0.500
Ir4 0.284 0.570 0.500
Ir5 0.430 0.284 0.500
Ir6 0.500 0.000 0.500
Ir7 0.570 0.716 0.500
Ir8 0.716 0.430 0.500
Ir9 0.784 0.930 0.500
Ir10 0.930 0.216 0.500

Values from the calculation:
- Calculated density: 13.488 g/cm3
- Total energy: -8.316 eV per atom
- Space-group type: No. 127
- Formation energy: -0.9091 eV per atom



# 7
The following is a GGA-PBE calculation of a geometry-optimized Al2SiB2Ir5 structure, from Alexandria.

a = 9.138 Å, b = 9.138 Å, c = 3.050 Å
α = 90.00°, β = 90.00°, γ = 90.00°
Sites, in units of the cell vectors:
Al1 0.175 0.325 0.000
Al2 0.325 0.825 0.000
Al3 0.675 0.175 0.000
Al4 0.825 0.675 0.000
Si1 0.000 0.000 0.000
Si2 0.500 0.500 0.000
B1 0.127 0.627 0.000
B2 0.373 0.127 0.000
B3 0.627 0.873 0.000
B4 0.873 0.373 0.000
Ir1 0.000 0.500 0.500
Ir2 0.082 0.794 0.500
Ir3 0.206 0.082 0.500
Ir4 0.294 0.582 0.500
Ir5 0.418 0.294 0.500
Ir6 0.500 0.000 0.500
Ir7 0.582 0.706 0.500
Ir8 0.706 0.418 0.500
Ir9 0.794 0.918 0.500
Ir10 0.918 0.206 0.500

Values from the calculation:
- Calculated density: 13.885 g/cm3
- Total energy: -7.525 eV per atom
- Space-group type: No. 127
- Formation energy (no corrections): -0.468 eV/atom



# 8
The following is a GGA-PBE calculation of a geometry-optimized Sm2AlB2Ir5 structure, from Alexandria.

a = 9.739 Å, b = 9.739 Å, c = 3.162 Å
α = 90.00°, β = 90.00°, γ = 90.00°
Sites, in units of the cell vectors:
Sm1 0.178 0.322 0.000
Sm2 0.322 0.822 0.000
Sm3 0.678 0.178 0.000
Sm4 0.822 0.678 0.000
Al1 0.000 0.000 0.000
Al2 0.500 0.500 0.000
B1 0.121 0.621 0.000
B2 0.379 0.121 0.000
B3 0.621 0.879 0.000
B4 0.879 0.379 0.000
Ir1 0.000 0.500 0.500
Ir2 0.067 0.779 0.500
Ir3 0.221 0.067 0.500
Ir4 0.279 0.567 0.500
Ir5 0.433 0.279 0.500
Ir6 0.500 0.000 0.500
Ir7 0.567 0.721 0.500
Ir8 0.721 0.433 0.500
Ir9 0.779 0.933 0.500
Ir10 0.933 0.221 0.500

Values from the calculation:
- Calculated density: 14.511 g/cm3
- Total energy: -7.772 eV per atom
- Space-group type: No. 127
- Formation energy: -0.6883 eV per atom